{"formula": "Rb2HCl7", "functional": "PBE-GGA", "state": "relaxed", "energy_ev_per_atom": -2.285, "n_ef_per_ev_fu": 3.5, "space_group": "I4/mmm", "lattice": [[-3.6717, 3.6717, 4.5469], [3.6717, -3.6717, 4.5469], [3.6717, 3.6717, -4.5469]], "species": ["Rb", "Rb", "H", "Cl", "Cl", "Cl", "Cl", "Cl", "Cl", "Cl"], "frac_coords": [[0.2500, 0.7500, 0.5000], [0.7500, 0.2500, 0.5000], [0.0000, 0.0000, 0.0000], [0.2152, 0.2152, 0.4305], [0.2152, 0.7848, 0.0000], [0.2583, 0.2583, 0.0000], [0.5000, 0.5000, 0.0000], [0.7417, 0.7417, 0.0000], [0.7848, 0.2152, 0.0000], [0.7848, 0.7848, 0.5695]]}